[1]
The following is a DFT calculation (PBE) of an optimized crystal structure of YZr3Ta.

The calculation puts the polymorph energy (0 for the lowest one) at 511 kJ/mol of formula units. The value obtained for the energy of formation from the pure elements is 1.729 eV per atom. Its density of states at the Fermi level is 8.44 states/eV/f.u. Its density is 7.0 Mg/m³.

The space group is Pm-3m (No. 221) and the conventional cell measures 5.0590, 5.0590 and 5.0590 Å, with angles of 90.00, 90.00 and 90.00 degrees. The inequivalent atoms are Y at (0.0000, 0.0000, 0.0000), Zr at (0.0000, 0.0000, 0.5000) and Ta at (0.5000, 0.5000, 0.5000).


[2]
The following is a DFT calculation (PBE) of an optimized crystal structure of SrCa3Rh.

The calculation puts the polymorph energy (0 for the lowest one) at 13 kJ/mol of formula units. The value obtained for the energy of formation from the pure elements is -0.200 eV per atom. Its density of states at the Fermi level is 4.39 states/eV/f.u. Its density is 2.8 Mg/m³.

The space group is P1 (No. 1) and the conventional cell measures 6.9012, 7.5862 and 7.7198 Å, with angles of 108.29, 106.82 and 93.02 degrees. The inequivalent atoms are Sr at (0.0000, 0.0000, 0.0000), Sr at (0.4941, 0.3000, 0.4548), Ca at (0.4824, 0.7816, 0.3463), Ca at (0.4853, 0.8102, 0.8509), Ca at (0.5149, 0.3406, 0.9614), Ca at (0.9714, 0.4710, 0.8962), Ca at (0.9833, 0.5396, 0.4023), Ca at (0.9872, 0.0374, 0.5017), Rh at (0.6857, 0.0947, 0.7050) and Rh at (0.7816, 0.7116, 0.1437).


[3]
The following is a DFT calculation (PBE) of an optimized crystal structure of ScBeMo2.

The value obtained for the energy of formation from the pure elements is 0.212 eV per atom. Its density of states at the Fermi level is 3.27 states/eV/f.u. Its density is 6.5 Mg/m³.

The space group is I4/mmm (No. 139) and the conventional cell measures 3.7641, 3.7641 and 8.8876 Å, with angles of 90.00, 90.00 and 90.00 degrees. The inequivalent atoms are Sc at (0.0000, 0.0000, 0.0000), Be at (0.0000, 0.0000, 0.5000) and Mo at (0.0000, 0.5000, 0.2500).